First-principles (GGA-PBE) data for crystalline PmPrCdSi at its relaxed geometry, as listed in the Alexandria database.

Values from the calculation:
The value obtained for the density of states at the Fermi level is 0.77 states/eV per atom. Its space group is No. 216. Its spin magnetization is 0.000 Bohr magnetons per cell. Its formation energy from raw total energies is -8.9 kcal/mol of atoms.

abc: 7.457 7.457 7.457
angles: 90.00 90.00 90.00
Positions (direct):
Pm  0.000  0.000  0.000
Pm  0.000  0.500  0.500
Pm  0.500  0.000  0.500
Pm  0.500  0.500  0.000
Pr  0.000  0.000  0.500
Pr  0.000  0.500  0.000
Pr  0.500  0.000  0.000
Pr  0.500  0.500  0.500
Cd  0.250  0.250  0.250
Cd  0.250  0.750  0.750
Cd  0.750  0.250  0.750
Cd  0.750  0.750  0.250
Si  0.250  0.250  0.750
Si  0.250  0.750  0.250
Si  0.750  0.250  0.250
Si  0.750  0.750  0.750